(1)
# ThTa2Si4, relaxed, DFT PBE-GGA
# - E: -0.5834 Ry/atom
data_ThTa2Si4
_symmetry_space_group_name_H-M 'I m m m'
_symmetry_Int_Tables_number 71
_symmetry_space_group_name_Hall '-I 2 2'
_cell_length_a 3.7005
_cell_length_b 3.7198
_cell_length_c 17.9576
_cell_angle_alpha 90.00
_cell_angle_beta 90.00
_cell_angle_gamma 90.00
loop_
_atom_site_label
_atom_site_fract_x
_atom_site_fract_y
_atom_site_fract_z
Th1 0.0000 0.0000 0.0000
Ta1 0.0000 0.5000 0.1936
Si1 0.0000 0.0000 0.4187
Si2 0.0000 0.5000 0.3375

(2)
# ScCo2W, relaxed, DFT PBE-GGA
# - Distance to the lowest polymorph of the same formula: 188.6 meV/atom
# - DFT formation energy: 121 meV per atom
data_ScCo2W
_symmetry_space_group_name_H-M 'P 4 m m'
_symmetry_Int_Tables_number 99
_cell_length_a 2.7751
_cell_length_b 2.7751
_cell_length_c 7.5442
_cell_angle_alpha 90.00
_cell_angle_beta 90.00
_cell_angle_gamma 90.00
loop_
_symmetry_equiv_pos_as_xyz
'x,y,z'
'-y,x,z'
'-x,-y,z'
'y,-x,z'
'-x,y,z'
'y,x,z'
'x,-y,z'
'-y,-x,z'
loop_
_atom_site_label
_atom_site_fract_x
_atom_site_fract_y
_atom_site_fract_z
Sc1 0.0000 0.0000 0.0000
Co1 0.0000 0.0000 0.5518
Co2 0.5000 0.5000 0.7363
W1 0.5000 0.5000 0.3094

(3)
# Li2Er3Tl3, relaxed, DFT PBE-GGA
# - DFT formation energy: -230 meV per atom
data_Li2Er3Tl3
_symmetry_space_group_name_H-M 'I m m m'
_symmetry_Int_Tables_number 71
_symmetry_space_group_name_Hall '-I 2 2'
_cell_length_a 4.5618
_cell_length_b 4.8546
_cell_length_c 16.9069
_cell_angle_alpha 90.00
_cell_angle_beta 90.00
_cell_angle_gamma 90.00
loop_
_atom_site_label
_atom_site_fract_x
_atom_site_fract_y
_atom_site_fract_z
Li1 0.0000 0.0000 0.2437
Er1 0.0000 0.0000 0.0000
Er2 0.0000 0.5000 0.1381
Tl1 0.0000 0.0000 0.5000
Tl2 0.0000 0.5000 0.3489

(4)
# ZrBe2Ru, relaxed, DFT PBE-GGA
# - Distance to the lowest polymorph of the same formula: 303.4 meV/atom
# - DFT formation energy: -55 meV per atom
data_ZrBe2Ru
_symmetry_space_group_name_H-M 'P 4 m m'
_symmetry_Int_Tables_number 99
_cell_length_a 3.0114
_cell_length_b 3.0114
_cell_length_c 6.1055
_cell_angle_alpha 90.00
_cell_angle_beta 90.00
_cell_angle_gamma 90.00
loop_
_symmetry_equiv_pos_as_xyz
'x,y,z'
'-y,x,z'
'-x,-y,z'
'y,-x,z'
'-x,y,z'
'y,x,z'
'x,-y,z'
'-y,-x,z'
loop_
_atom_site_label
_atom_site_fract_x
_atom_site_fract_y
_atom_site_fract_z
Zr1 0.0000 0.0000 0.0000
Be1 0.0000 0.0000 0.5195
Be2 0.5000 0.5000 0.3331
Ru1 0.5000 0.5000 0.7043

(5)
# PBrO2, relaxed, DFT PBE-GGA
# - Distance to the lowest polymorph of the same formula: 1365.6 meV/atom
data_PBrO2
_symmetry_space_group_name_H-M 'R -3 m'
_symmetry_Int_Tables_number 166
_symmetry_space_group_name_Hall '-R 3 2"'
_cell_length_a 3.3103
_cell_length_b 3.3103
_cell_length_c 18.1142
_cell_angle_alpha 90.00
_cell_angle_beta 90.00
_cell_angle_gamma 120.00
loop_
_atom_site_label
_atom_site_fract_x
_atom_site_fract_y
_atom_site_fract_z
P1 0.0000 0.0000 0.0000
Br1 0.0000 0.0000 0.5000
O1 0.0000 0.0000 0.3854

(6)
# Pr4PPdCl2, relaxed, DFT PBE-GGA
# - E: -0.4038 Ry/atom
data_Pr4PPdCl2
_symmetry_space_group_name_H-M 'P 1 2/m 1'
_symmetry_Int_Tables_number 10
_cell_length_a 7.2819
_cell_length_b 4.1023
_cell_length_c 7.5101
_cell_angle_alpha 90.00
_cell_angle_beta 108.08
_cell_angle_gamma 90.00
loop_
_symmetry_equiv_pos_as_xyz
'x,y,z'
'-x,-y,-z'
'-x,y,-z'
'x,-y,z'
loop_
_atom_site_label
_atom_site_fract_x
_atom_site_fract_y
_atom_site_fract_z
Pr1 0.2265 0.0000 0.2425
Pr2 0.2293 0.5000 0.7319
P1 0.0000 0.0000 0.5000
Pd1 0.0000 0.5000 0.0000
Cl1 0.5000 0.0000 0.0000
Cl2 0.5000 0.5000 0.5000

(7)
# EuAlBi2, relaxed, DFT PBE-GGA
# - Distance to the lowest polymorph of the same formula: 143.4 meV/atom
# - DFT formation energy: -194 meV per atom
data_EuAlBi2
_symmetry_space_group_name_H-M 'R -3 m'
_symmetry_Int_Tables_number 166
_symmetry_space_group_name_Hall '-R 3 2"'
_cell_length_a 4.2651
_cell_length_b 4.2651
_cell_length_c 23.8923
_cell_angle_alpha 90.00
_cell_angle_beta 90.00
_cell_angle_gamma 120.00
loop_
_atom_site_label
_atom_site_fract_x
_atom_site_fract_y
_atom_site_fract_z
Eu1 0.0000 0.0000 0.0000
Al1 0.0000 0.0000 0.5000
Bi1 0.0000 0.0000 0.2351

(8)
# BaNiP2, relaxed, DFT PBE-GGA
# - DFT formation energy: -691 meV per atom
data_BaNiP2
_symmetry_space_group_name_H-M 'P 1 2/m 1'
_symmetry_Int_Tables_number 10
_cell_length_a 4.4740
_cell_length_b 3.7909
_cell_length_c 5.2033
_cell_angle_alpha 90.00
_cell_angle_beta 100.26
_cell_angle_gamma 90.00
loop_
_symmetry_equiv_pos_as_xyz
'x,y,z'
'-x,-y,-z'
'-x,y,-z'
'x,-y,z'
loop_
_atom_site_label
_atom_site_fract_x
_atom_site_fract_y
_atom_site_fract_z
Ba1 0.0000 0.0000 0.0000
Ni1 0.5000 0.0000 0.5000
P1 0.2574 0.5000 0.5885